# Mg3GeSe

Mg3GeSe after structural relaxation (PBE, the Alexandria database).

Properties
Formation energy without anion corrections (eV per atom): -0.256
Total magnetization (μB/atom): 0.0000
Distance to the lowest polymorph of the same formula (meV per atom): 0
Space-group type: Pm-3m, No. 221

a b c (Å): 4.987 4.987 4.987
angles (deg): 90.00 90.00 90.00
Atoms (fractional coordinates):
1 Ge 0.000 0.000 0.000
2 Mg 0.000 0.500 0.000
3 Mg 0.000 0.000 0.500
4 Mg 0.500 0.000 0.000
5 Se 0.500 0.500 0.500

=====

# Mg3Ge5Se12

Mg3Ge5Se12 after structural relaxation (PBE, the Alexandria database).

Properties
Formation energy without anion corrections (eV per atom): -0.391
Total magnetization (μB/atom): 0.0000
Space-group type: Ia-3d, No. 230

a b c (Å): 13.717 13.717 13.717
angles (deg): 109.47 109.47 109.47
Atoms (fractional coordinates):
1 Mg 0.750 0.375 0.125
2 Mg 0.875 0.750 0.125
3 Mg 0.375 0.750 0.625
4 Mg 0.250 0.125 0.375
5 Mg 0.875 0.125 0.250
6 Mg 0.375 0.625 0.250
7 Mg 0.625 0.375 0.750
8 Mg 0.125 0.875 0.750
9 Mg 0.750 0.875 0.625
10 Mg 0.625 0.250 0.375
11 Mg 0.125 0.250 0.875
12 Mg 0.250 0.625 0.875
13 Ge 0.125 0.375 0.250
14 Ge 0.000 0.500 0.000
15 Ge 0.000 0.000 0.000
16 Ge 0.375 0.250 0.125
17 Ge 0.500 0.000 0.500
18 Ge 0.500 0.500 0.000
19 Ge 0.125 0.750 0.375
20 Ge 0.750 0.125 0.875
21 Ge 0.750 0.625 0.375
22 Ge 0.375 0.125 0.750
23 Ge 0.625 0.875 0.250
24 Ge 0.500 0.500 0.500
25 Ge 0.500 0.000 0.000
26 Ge 0.000 0.000 0.500
27 Ge 0.250 0.375 0.625
28 Ge 0.250 0.875 0.125
29 Ge 0.000 0.500 0.500
30 Ge 0.875 0.250 0.625
31 Ge 0.625 0.750 0.875
32 Ge 0.875 0.625 0.750
33 Se 0.718 0.132 0.040
34 Se 0.321 0.540 0.408
35 Se 0.960 0.368 0.282
36 Se 0.540 0.218 0.132
37 Se 0.586 0.718 0.679
38 Se 0.960 0.592 0.179
39 Se 0.321 0.782 0.414
40 Se 0.092 0.914 0.132
41 Se 0.592 0.960 0.679
42 Se 0.718 0.586 0.179
43 Se 0.782 0.460 0.368
44 Se 0.821 0.908 0.040
45 Se 0.132 0.718 0.540
46 Se 0.368 0.408 0.086
47 Se 0.086 0.908 0.368
48 Se 0.414 0.132 0.592
49 Se 0.086 0.179 0.218
50 Se 0.460 0.679 0.092
51 Se 0.821 0.914 0.282
52 Se 0.132 0.414 0.092
53 Se 0.368 0.960 0.782
54 Se 0.592 0.632 0.414
55 Se 0.908 0.821 0.540
56 Se 0.782 0.321 0.914
57 Se 0.408 0.368 0.586
58 Se 0.092 0.179 0.460
59 Se 0.218 0.679 0.086
60 Se 0.179 0.086 0.718
61 Se 0.632 0.040 0.218
62 Se 0.868 0.586 0.908
63 Se 0.540 0.321 0.908
64 Se 0.586 0.868 0.408
65 Se 0.914 0.821 0.782
66 Se 0.914 0.092 0.632
67 Se 0.868 0.282 0.460
68 Se 0.179 0.092 0.960
69 Se 0.632 0.592 0.914
70 Se 0.408 0.040 0.321
71 Se 0.282 0.414 0.821
72 Se 0.218 0.540 0.632
73 Se 0.908 0.086 0.868
74 Se 0.679 0.218 0.586
75 Se 0.460 0.782 0.868
76 Se 0.040 0.408 0.821
77 Se 0.414 0.282 0.321
78 Se 0.040 0.632 0.718
79 Se 0.679 0.460 0.592
80 Se 0.282 0.868 0.960

=====

# MgGeSe

MgGeSe after structural relaxation (PBE, the Alexandria database).

Properties
Formation energy without anion corrections (eV per atom): -0.600
Total magnetization (μB/atom): 0.0000
Space-group type: Cm, No. 8

a b c (Å): 4.249 4.249 12.080
angles (deg): 69.77 69.77 60.00
Atoms (fractional coordinates):
1 Ge 0.521 0.521 0.182
2 Ge 0.224 0.224 0.126
3 Se 0.644 0.644 0.502
4 Se 0.113 0.113 0.804
5 Mg 0.274 0.274 0.558
6 Mg 0.483 0.483 0.749

=====

# MgGeSe2

MgGeSe2 after structural relaxation (PBE, the Alexandria database).

Properties
Formation energy without anion corrections (eV per atom): -0.675
Total magnetization (μB/atom): 0.0000
Space-group type: P3_221, No. 154

a b c (Å): 3.956 3.956 19.830
angles (deg): 90.00 90.00 60.00
Atoms (fractional coordinates):
1 Mg 0.997 0.000 0.167
2 Mg 0.003 0.997 0.833
3 Mg 0.000 0.003 0.500
4 Ge 0.000 0.995 0.000
5 Ge 0.995 0.005 0.333
6 Ge 0.005 0.000 0.667
7 Se 0.334 0.330 0.913
8 Se 0.335 0.334 0.579
9 Se 0.330 0.335 0.246
10 Se 0.665 0.670 0.421
11 Se 0.666 0.665 0.087
12 Se 0.670 0.666 0.754

=====

# MgGeSe3

MgGeSe3 after structural relaxation (PBE, the Alexandria database).

Properties
Formation energy without anion corrections (eV per atom): 0.162
Total magnetization (μB/atom): 0.0000
Distance to the lowest polymorph of the same formula (meV per atom): 764
Space-group type: Pm-3m, No. 221

a b c (Å): 5.021 5.021 5.021
angles (deg): 90.00 90.00 90.00
Atoms (fractional coordinates):
1 Ge 0.500 0.500 0.500
2 Mg 0.000 0.000 0.000
3 Se 0.000 0.500 0.000
4 Se 0.000 0.000 0.500
5 Se 0.500 0.000 0.000

=====

# Mg2Ge2Se

Mg2Ge2Se after structural relaxation (PBE, the Alexandria database).

Properties
Formation energy without anion corrections (eV per atom): -0.182
Total magnetization (μB/atom): 0.0000
Space-group type: P4/mbm, No. 127

a b c (Å): 7.496 7.496 3.860
angles (deg): 90.00 90.00 90.00
Atoms (fractional coordinates):
1 Ge 0.112 0.612 0.500
2 Ge 0.612 0.888 0.500
3 Ge 0.888 0.388 0.500
4 Ge 0.388 0.112 0.500
5 Mg 0.314 0.814 0.000
6 Mg 0.814 0.686 0.000
7 Mg 0.686 0.186 0.000
8 Mg 0.186 0.314 0.000
9 Se 0.000 0.000 0.000
10 Se 0.500 0.500 0.000

=====

# MgGeSe2

MgGeSe2 after structural relaxation (PBE, the Alexandria database).

Properties
Formation energy without anion corrections (eV per atom): -0.543
Total magnetization (μB/atom): 0.0000
Space-group type: I-42d, No. 122

a b c (Å): 6.115 6.115 7.554
angles (deg): 66.12 66.12 90.00
Atoms (fractional coordinates):
1 Ge 0.000 0.000 0.000
2 Ge 0.750 0.250 0.500
3 Mg 0.500 0.500 0.000
4 Mg 0.250 0.750 0.500
5 Se 0.605 0.125 0.250
6 Se 0.145 0.625 0.250
7 Se 0.375 0.395 0.750
8 Se 0.875 0.855 0.750

=====

# MgGeSe3

MgGeSe3 after structural relaxation (PBE, the Alexandria database).

Properties
Formation energy without anion corrections (eV per atom): 0.075
Total magnetization (μB/atom): 0.0000
Distance to the lowest polymorph of the same formula (meV per atom): 677
Space-group type: Pm-3m, No. 221

a b c (Å): 5.006 5.006 5.006
angles (deg): 90.00 90.00 90.00
Atoms (fractional coordinates):
1 Ge 0.000 0.000 0.000
2 Mg 0.500 0.500 0.500
3 Se 0.000 0.500 0.000
4 Se 0.000 0.000 0.500
5 Se 0.500 0.000 0.000

=====

Question: Look up the formation energy without anion corrections of the first one.
Answer: -0.256 eV per atom